TcSbCI2 after structural relaxation, computed with GGA-PBE.

Unit cell a=5.5159 b=5.5159 c=5.1407 alpha=90.00 beta=90.00 gamma=90.00
Last column: nearest neighbours and their distance in Å.
Positions (direct):
I1 0.0000 0.5000 0.0000  2 Tc 2.76
I2 0.5000 0.0000 0.0000  2 Tc 2.76
Sb1 0.0000 0.0000 0.5000  2 Tc 2.57
C1 0.5000 0.5000 0.5000  8 I 3.77, 4 Sb 3.90
Tc1 0.0000 0.0000 0.0000  2 Sb 2.57, 4 I 2.76

Values from the calculation:
Its mass density is 5.16 Mg/m³. The value obtained for the energy above the most stable polymorph in this dataset is 18 kJ/mol of formula units. Its space group is P4/mmm, No. 123. For the magnetization, the calculation gives 3.4 Bohr magnetons per cell. As for the crystal system: tetragonal. As for the total energy: -3.56 eV/atom.


SbTe2CI after structural relaxation, computed with GGA-PBE.

Unit cell a=5.8166 b=5.8166 c=6.0066 alpha=90.00 beta=90.00 gamma=90.00
Last column: nearest neighbours and their distance in Å.
Positions (direct):
I1 0.0000 0.0000 0.0000  4 Te 2.91, 2 Sb 3.00
Sb1 0.0000 0.0000 0.5000  2 I 3.00
C1 0.5000 0.5000 0.5000  4 Sb 4.11, 8 Te 4.18
Te1 0.0000 0.5000 0.0000  2 I 2.91
Te2 0.5000 0.0000 0.0000  2 I 2.91

Values from the calculation:
Its mass density is 4.22 Mg/m³. The value obtained for the energy above the most stable polymorph in this dataset is 612 kJ/mol of formula units. Its space group is P4/mmm, No. 123. For the magnetization, the calculation gives 0.4 Bohr magnetons per cell. As for the crystal system: tetragonal. As for the total energy: -1.94 eV/atom.


Sb2TeCI after structural relaxation, computed with GGA-PBE.

Unit cell a=4.9533 b=4.9533 c=4.9545 alpha=90.00 beta=90.00 gamma=90.00
Last column: nearest neighbours and their distance in Å.
Positions (direct):
I1 0.0000 0.0000 0.5000  2 C 2.48
Sb1 0.0000 0.5000 0.0000  2 C 2.48
Sb2 0.5000 0.0000 0.0000  2 C 2.48
C1 0.0000 0.0000 0.0000  4 Sb 2.48, 2 I 2.48
Te1 0.5000 0.5000 0.5000  4 I 3.50, 8 Sb 3.50

Values from the calculation:
Its mass density is 6.97 Mg/m³. The value obtained for the energy above the most stable polymorph in this dataset is 4 kJ/mol of formula units. Its space group is P4/mmm, No. 123. For the magnetization, the calculation gives 0.0 Bohr magnetons per cell. As for the crystal system: tetragonal. As for the total energy: -3.39 eV/atom.


SbTe2CI after structural relaxation, computed with GGA-PBE.

Unit cell a=4.8806 b=4.8806 c=5.0611 alpha=90.00 beta=90.00 gamma=90.00
Last column: nearest neighbours and their distance in Å.
Positions (direct):
I1 0.0000 0.0000 0.5000  2 C 2.53
Sb1 0.5000 0.5000 0.5000  4 I 3.45, 8 Te 3.52
C1 0.0000 0.0000 0.0000  4 Te 2.44, 2 I 2.53
Te1 0.0000 0.5000 0.0000  2 C 2.44
Te2 0.5000 0.0000 0.0000  2 C 2.44

Values from the calculation:
Its mass density is 7.11 Mg/m³. The value obtained for the energy above the most stable polymorph in this dataset is 0 kJ/mol of formula units. Its space group is P4/mmm, No. 123. For the magnetization, the calculation gives 0.0 Bohr magnetons per cell. As for the crystal system: tetragonal. As for the total energy: -3.21 eV/atom.


SbTe2CI after structural relaxation, computed with GGA-PBE.

Unit cell a=5.8289 b=5.8289 c=5.9159 alpha=90.00 beta=90.00 gamma=90.00
Last column: nearest neighbours and their distance in Å.
Positions (direct):
I1 0.0000 0.0000 0.5000  2 Sb 2.96
Sb1 0.0000 0.0000 0.0000  4 Te 2.91, 2 I 2.96
C1 0.5000 0.5000 0.5000  4 I 4.12, 8 Te 4.15
Te1 0.0000 0.5000 0.0000  2 Sb 2.91
Te2 0.5000 0.0000 0.0000  2 Sb 2.91

Values from the calculation:
Its mass density is 4.26 Mg/m³. The value obtained for the energy above the most stable polymorph in this dataset is 365 kJ/mol of formula units. Its space group is P4/mmm, No. 123. For the magnetization, the calculation gives 0.7 Bohr magnetons per cell. As for the crystal system: tetragonal. As for the total energy: -2.45 eV/atom.


SbTe2CI after structural relaxation, computed with GGA-PBE.

Unit cell a=4.8351 b=4.8351 c=5.3048 alpha=90.00 beta=90.00 gamma=90.00
Last column: nearest neighbours and their distance in Å.
Positions (direct):
I1 0.5000 0.5000 0.5000  4 Sb 3.42, 8 Te 3.59
Sb1 0.0000 0.0000 0.5000  2 C 2.65
C1 0.0000 0.0000 0.0000  4 Te 2.42, 2 Sb 2.65
Te1 0.0000 0.5000 0.0000  2 C 2.42
Te2 0.5000 0.0000 0.0000  2 C 2.42

Values from the calculation:
Its mass density is 6.91 Mg/m³. The value obtained for the energy above the most stable polymorph in this dataset is 7 kJ/mol of formula units. Its space group is P4/mmm, No. 123. For the magnetization, the calculation gives 0.0 Bohr magnetons per cell. As for the crystal system: tetragonal. As for the total energy: -3.20 eV/atom.


Sb2TeCI after structural relaxation, computed with GGA-PBE.

Unit cell a=5.1359 b=5.1359 c=4.6748 alpha=90.00 beta=90.00 gamma=90.00
Last column: nearest neighbours and their distance in Å.
Positions (direct):
I1 0.5000 0.5000 0.5000  8 Sb 3.47, 4 Te 3.63
Sb1 0.0000 0.5000 0.0000  2 C 2.57
Sb2 0.5000 0.0000 0.0000  2 C 2.57
C1 0.0000 0.0000 0.0000  2 Te 2.34, 4 Sb 2.57
Te1 0.0000 0.0000 0.5000  2 C 2.34

Values from the calculation:
Its mass density is 6.87 Mg/m³. The value obtained for the energy above the most stable polymorph in this dataset is 0 kJ/mol of formula units. Its space group is P4/mmm, No. 123. For the magnetization, the calculation gives 0.0 Bohr magnetons per cell. As for the crystal system: tetragonal. As for the total energy: -3.40 eV/atom.


Sb2TeCI after structural relaxation, computed with GGA-PBE.

Unit cell a=5.9241 b=5.9241 c=5.7419 alpha=90.00 beta=90.00 gamma=90.00
Last column: nearest neighbours and their distance in Å.
Positions (direct):
I1 0.0000 0.0000 0.0000  2 Te 2.87, 4 Sb 2.96
Sb1 0.0000 0.5000 0.0000  2 I 2.96
Sb2 0.5000 0.0000 0.0000  2 I 2.96
C1 0.5000 0.5000 0.5000  8 Sb 4.13, 4 Te 4.19
Te1 0.0000 0.0000 0.5000  2 I 2.87

Values from the calculation:
Its mass density is 4.20 Mg/m³. The value obtained for the energy above the most stable polymorph in this dataset is 647 kJ/mol of formula units. Its space group is P4/mmm, No. 123. For the magnetization, the calculation gives 0.4 Bohr magnetons per cell. As for the crystal system: tetragonal. As for the total energy: -2.06 eV/atom.


Sb2TeCI after structural relaxation, computed with GGA-PBE.

Unit cell a=5.9052 b=5.9052 c=5.9596 alpha=90.00 beta=90.00 gamma=90.00
Last column: nearest neighbours and their distance in Å.
Positions (direct):
I1 0.0000 0.0000 0.5000  2 Te 2.98
Sb1 0.0000 0.5000 0.0000  2 Te 2.95
Sb2 0.5000 0.0000 0.0000  2 Te 2.95
C1 0.5000 0.5000 0.5000  4 I 4.18, 8 Sb 4.19
Te1 0.0000 0.0000 0.0000  4 Sb 2.95, 2 I 2.98

Values from the calculation:
Its mass density is 4.08 Mg/m³. The value obtained for the energy above the most stable polymorph in this dataset is 488 kJ/mol of formula units. Its space group is P4/mmm, No. 123. For the magnetization, the calculation gives 0.2 Bohr magnetons per cell. As for the crystal system: tetragonal. As for the total energy: -2.39 eV/atom.


TiSb2CI after structural relaxation, computed with GGA-PBE.

Unit cell a=5.3069 b=5.3069 c=5.3154 alpha=90.00 beta=90.00 gamma=90.00
Last column: nearest neighbours and their distance in Å.
Positions (direct):
I1 0.0000 0.0000 0.5000  2 Ti 2.66
Sb1 0.0000 0.5000 0.0000  2 Ti 2.65
Sb2 0.5000 0.0000 0.0000  2 Ti 2.65
C1 0.5000 0.5000 0.5000  4 I 3.75, 8 Sb 3.76
Ti1 0.0000 0.0000 0.0000  4 Sb 2.65, 2 I 2.66

Values from the calculation:
Its mass density is 4.77 Mg/m³. The value obtained for the energy above the most stable polymorph in this dataset is 174 kJ/mol of formula units. Its space group is P4/mmm, No. 123. For the magnetization, the calculation gives 2.0 Bohr magnetons per cell. As for the crystal system: tetragonal. As for the total energy: -3.93 eV/atom.


TiSbCI2 after structural relaxation, computed with GGA-PBE.

Unit cell a=4.8510 b=4.8629 c=4.8510 alpha=90.00 beta=90.00 gamma=90.00
Last column: nearest neighbours and their distance in Å.
Positions (direct):
I1 0.0000 0.0000 0.5000  2 C 2.43
I2 0.5000 0.0000 0.0000  2 C 2.43
Sb1 0.0000 0.5000 0.0000  2 C 2.43
C1 0.0000 0.0000 0.0000  4 I 2.43, 2 Sb 2.43
Ti1 0.5000 0.5000 0.5000  4 Sb 3.43, 8 I 3.43

Values from the calculation:
Its mass density is 6.32 Mg/m³. The value obtained for the energy above the most stable polymorph in this dataset is 0 kJ/mol of formula units. Its space group is P4/mmm, No. 123. For the magnetization, the calculation gives 0.0 Bohr magnetons per cell. As for the crystal system: tetragonal. As for the total energy: -3.62 eV/atom.


TiSb2CI after structural relaxation, computed with GGA-PBE.

Unit cell a=4.7009 b=4.7009 c=4.9099 alpha=90.00 beta=90.00 gamma=90.00
Last column: nearest neighbours and their distance in Å.
Positions (direct):
I1 0.0000 0.0000 0.5000  2 C 2.45
Sb1 0.0000 0.5000 0.0000  2 C 2.35
Sb2 0.5000 0.0000 0.0000  2 C 2.35
C1 0.0000 0.0000 0.0000  4 Sb 2.35, 2 I 2.45
Ti1 0.5000 0.5000 0.5000  4 I 3.32, 8 Sb 3.40

Values from the calculation:
Its mass density is 6.59 Mg/m³. The value obtained for the energy above the most stable polymorph in this dataset is 0 kJ/mol of formula units. Its space group is P4/mmm, No. 123. For the magnetization, the calculation gives 0.0 Bohr magnetons per cell. As for the crystal system: tetragonal. As for the total energy: -4.29 eV/atom.